Computed, not measured: crystalline LaTb4Sm2Sc at its relaxed geometry at the PBE level of DFT.

The value obtained for the formation energy is 0.14 eV/atom. As for the size of the total moment: 0.00 μB per formula unit. The calculation puts the density of states at the Fermi level at 18.22 states/eV/f.u.

The structure belongs to space group P4/mmm (No. 123); the cell edges are 5.9099, 5.9099 and 7.3630 Å and the angles 90.00°, 90.00° and 90.00°. The inequivalent atoms are La at (0.0000, 0.0000, 0.0000), Tb at (0.0000, 0.5000, 0.2468), Sm at (0.0000, 0.0000, 0.5000), Sm at (0.5000, 0.5000, 0.5000) and Sc at (0.5000, 0.5000, 0.0000).